[1]
CaPm2HgN, optimized geometry, DFT GGA-PBE; Fermi-level density of states = 4.7 states/eV/cell; SG = P4/mmm (123); raw formation energy = -0.75 eV per atom; theoretical density = 7483 kg/m³
1.0
4.982 0.000 0.000
0.000 4.982 0.000
0.000 0.000 4.870
Pm N Ca Hg
2 1 1 1
direct
0.500 0.000 0.000 Pm
0.000 0.500 0.000 Pm
0.000 0.000 0.000 N
0.000 0.000 0.500 Ca
0.500 0.500 0.500 Hg

---

[2]
Ca3Pm4Hg3N2, optimized geometry, DFT GGA-PBE; Fermi-level density of states = 10.7 states/eV/cell; SG = Immm (71); raw formation energy = -0.67 eV per atom; theoretical density = 7231 kg/m³
1.0
5.007 0.000 0.000
0.000 4.966 0.000
-2.504 -2.483 12.284
Hg Pm Ca N
3 4 3 2
direct
0.326 0.324 0.648 Hg
0.678 0.676 0.352 Hg
0.503 0.500 0.000 Hg
0.408 0.906 0.812 Pm
0.200 0.198 0.396 Pm
0.596 0.094 0.188 Pm
0.805 0.802 0.604 Pm
0.908 0.405 0.811 Ca
0.097 0.595 0.189 Ca
0.002 0.000 0.000 Ca
0.899 0.896 0.792 N
0.106 0.104 0.208 N

---

[3]
CaPr2HgN, optimized geometry, DFT GGA-PBE; Fermi-level density of states = 4.5 states/eV/cell; SG = P4/mmm (123); raw formation energy = -0.71 eV per atom; theoretical density = 7088 kg/m³
1.0
4.852 0.000 0.000
0.000 5.090 0.000
0.000 0.000 5.090
Pr Hg Ca N
2 1 1 1
direct
0.000 0.500 0.000 Pr
0.000 0.000 0.500 Pr
0.500 0.500 0.500 Hg
0.500 0.000 0.000 Ca
0.000 0.000 0.000 N

---

[4]
Ca2HgPtN, optimized geometry, DFT GGA-PBE; Fermi-level density of states = 3.7 states/eV/cell; SG = P4/mmm (123); raw formation energy = -0.62 eV per atom; theoretical density = 8004 kg/m³
1.0
-4.534 0.453 2.216
1.754 -2.431 4.085
1.116 3.455 1.577
N Hg Ca Pt
1 1 2 1
direct
0.000 0.000 0.000 N
0.500 0.500 0.500 Hg
0.500 0.000 0.000 Ca
0.000 0.500 0.000 Ca
0.000 0.000 0.500 Pt

---

[5]
CaHg2PtN, optimized geometry, DFT GGA-PBE; Fermi-level density of states = 3.0 states/eV/cell; SG = P4/mmm (123); raw formation energy = 0.19 eV per atom; theoretical density = 8901 kg/m³
1.0
-5.628 -0.711 -0.612
-0.325 -0.580 3.667
-0.794 5.591 0.814
Pt Ca N Hg
1 1 1 2
direct
0.000 0.500 0.000 Pt
0.500 0.500 0.500 Ca
0.000 0.000 0.000 N
0.500 0.000 0.000 Hg
0.000 0.000 0.500 Hg

---

[6]
CaHgRh2N, optimized geometry, DFT GGA-PBE; Fermi-level density of states = 4.4 states/eV/cell; SG = P4/mmm (123); raw formation energy = -0.16 eV per atom; theoretical density = 9451 kg/m³
1.0
4.160 0.000 0.000
0.000 4.160 0.000
0.000 0.000 4.675
Rh Ca N Hg
2 1 1 1
direct
0.000 0.500 0.000 Rh
0.500 0.000 0.000 Rh
0.000 0.000 0.500 Ca
0.000 0.000 0.000 N
0.500 0.500 0.500 Hg

---

[7]
Ca2HgRuN, optimized geometry, DFT GGA-PBE; Fermi-level density of states = 2.5 states/eV/cell; SG = P4/mmm (123); raw formation energy = -0.55 eV per atom; theoretical density = 6584 kg/m³
1.0
5.110 0.000 0.000
0.000 5.110 0.000
0.000 0.000 3.823
Ru N Ca Hg
1 1 2 1
direct
0.000 0.000 0.500 Ru
0.000 0.000 0.000 N
0.000 0.500 0.000 Ca
0.500 0.000 0.000 Ca
0.500 0.500 0.500 Hg

---

[8]
CaHgSN2, optimized geometry, DFT GGA-PBE; Fermi-level density of states = 1.8 states/eV/cell; offset from the most stable computed form = 0.00 eV per formula unit; SG = P4/mmm (123); raw formation energy = 0.96 eV per atom; theoretical density = 4976 kg/m³
1.0
4.275 0.000 0.000
0.000 4.275 0.000
0.000 0.000 5.492
Hg Ca N S
1 1 2 1
direct
0.000 0.000 0.000 Hg
0.500 0.500 0.500 Ca
0.000 0.500 0.000 N
0.500 0.000 0.000 N
0.000 0.000 0.500 S

---

[9]
CaHgS2N, optimized geometry, DFT GGA-PBE; Fermi-level density of states = 2.9 states/eV/cell; offset from the most stable computed form = 1.81 eV per formula unit; SG = P4/mmm (123); raw formation energy = 0.68 eV per atom; theoretical density = 4018 kg/m³
1.0
-5.088 0.941 -1.418
-1.620 -4.045 3.129
-0.444 2.898 3.516
S Ca Hg N
2 1 1 1
direct
0.500 0.000 0.000 S
0.000 0.500 0.000 S
0.000 0.000 0.000 Ca
0.500 0.500 0.500 Hg
0.000 0.000 0.500 N

---

[10]
CaHgS2N, optimized geometry, DFT GGA-PBE; Fermi-level density of states = 1.9 states/eV/cell; offset from the most stable computed form = 0.00 eV per formula unit; SG = P4/mmm (123); raw formation energy = 0.32 eV per atom; theoretical density = 4751 kg/m³
1.0
-3.253 -3.231 -2.383
4.002 -2.855 -1.593
-0.259 -2.300 3.472
S N Ca Hg
2 1 1 1
direct
0.500 0.000 0.000 S
0.000 0.500 0.000 S
0.000 0.000 0.500 N
0.500 0.500 0.500 Ca
0.000 0.000 0.000 Hg

---

[11]
CaHgSN2, optimized geometry, DFT GGA-PBE; Fermi-level density of states = 1.6 states/eV/cell; offset from the most stable computed form = 1.34 eV per formula unit; SG = P4/mmm (123); raw formation energy = 1.23 eV per atom; theoretical density = 4221 kg/m³
1.0
4.575 0.000 0.000
0.000 4.575 0.000
0.000 0.000 5.652
S N Ca Hg
1 2 1 1
direct
0.000 0.000 0.500 S
0.500 0.000 0.000 N
0.000 0.500 0.000 N
0.000 0.000 0.000 Ca
0.500 0.500 0.500 Hg

---

[12]
Ca4HgSbN, optimized geometry, DFT GGA-PBE; Fermi-level density of states = 10.7 states/eV/cell; SG = Cmcm (63); raw formation energy = -0.76 eV per atom; theoretical density = 4399 kg/m³
1.0
-2.122 5.874 -2.886
-5.770 -3.112 -2.094
-2.498 -0.896 8.215
Ca Sb N Hg
8 2 2 2
direct
0.000 0.000 0.500 Ca
0.500 0.000 0.500 Ca
0.500 0.500 0.500 Ca
0.403 0.750 0.807 Ca
0.000 0.500 0.500 Ca
0.597 0.250 0.193 Ca
0.090 0.750 0.181 Ca
0.910 0.250 0.819 Ca
0.888 0.750 0.775 Sb
0.112 0.250 0.225 Sb
0.751 0.250 0.502 N
0.249 0.750 0.498 N
0.396 0.250 0.792 Hg
0.604 0.750 0.208 Hg